Below is a geometry-optimized KAl2Se structure, with properties calculated at the PBE-GGA level.

The structure in POSCAR format:
```
KAl2Se
1.0
5.401 -0.002 -0.007
-2.717 6.124 0.022
-0.034 0.712 2.884
K Se Al
1 1 2
Direct
0.000 0.500 0.500
0.500 0.500 0.000
0.000 0.000 0.000
0.500 0.000 0.500
```

Values from the calculation:
M_tot (μB/f.u.): 0.0
Raw formation energy (kJ per mole of atoms): 4.05